Record 1
First-principles (PBE-GGA) data for an optimized crystal structure of Sm5Pd2, as listed in OQMD via LeMat-Bulk.

abc: 16.996 6.628 7.136
angles: 90.00 96.65 90.00
Space group C2/c (No. 15)
Symmetry-distinct sites (fractional):
Sm  0.000  0.072  0.250 (multiplicity 4)
Sm  0.094  0.390  0.932 (multiplicity 8)
Sm  0.221  0.069  0.310 (multiplicity 8)
Pd  0.111  0.195  0.571 (multiplicity 8)

The value obtained for the energy relative to the elements is -484 meV per atom. The crystal system is monoclinic.

Record 2
First-principles (PBE-GGA) data for an optimized crystal structure of Cd2BIr2, as listed in OQMD via LeMat-Bulk.

abc: 5.774 5.774 4.729
angles: 90.00 90.00 90.00
Space group P4/mbm (No. 127)
Symmetry-distinct sites (fractional):
Cd  0.168  0.332  0.000 (multiplicity 4)
B  0.000  0.000  0.500 (multiplicity 2)
Ir  0.162  0.662  0.500 (multiplicity 4)

The crystal system is tetragonal.

Raw total energy for every record listed, in sequence, given in eV for the cell shown: -149.176, -52.893.